No. 1
DFT (PBE-GGA) results for an optimized crystal structure of PrIrNO.

The space group is Pmc2_1 (No. 26) and the conventional cell measures 3.753, 5.713 and 5.296 Å, with angles of 90.00, 90.00 and 90.00 degrees. The asymmetric unit holds Pr at (0.000, 0.198, 0.000), Ir at (0.500, 0.358, 0.497), N at (0.000, 0.342, 0.490) and O at (0.500, 0.036, 0.739).

The excess energy over the best structure of this formula in the dataset is 192 meV per atom.

No. 2
DFT (PBE-GGA) results for an optimized crystal structure of SrHf2Ir.

The space group is F-43m (No. 216) and the conventional cell measures 7.070, 7.070 and 7.070 Å, with angles of 90.00, 90.00 and 90.00 degrees. The asymmetric unit holds Sr at (0.000, 0.000, 0.000), Hf at (0.000, 0.000, 0.500), Hf at (0.250, 0.250, 0.750) and Ir at (0.250, 0.250, 0.250).

No. 3
DFT (PBE-GGA) results for an optimized crystal structure of Li2CdO2.

The space group is Immm (No. 71) and the conventional cell measures 3.175, 3.557 and 10.181 Å, with angles of 90.00, 90.00 and 90.00 degrees. The asymmetric unit holds Li at (0.000, 0.000, 0.224), Cd at (0.000, 0.000, 0.500) and O at (0.000, 0.500, 0.154).

The excess energy over the best structure of this formula in the dataset is 29 meV per atom.

No. 4
DFT (PBE-GGA) results for an optimized crystal structure of Zr5TcOs4.

The space group is P4/mmm (No. 123) and the conventional cell measures 3.282, 3.282 and 16.446 Å, with angles of 90.00, 90.00 and 90.00 degrees. The asymmetric unit holds Zr at (0.000, 0.000, 0.000), Zr at (0.000, 0.000, 0.201), Zr at (0.000, 0.000, 0.401), Tc at (0.500, 0.500, 0.500), Os at (0.500, 0.500, 0.100) and Os at (0.500, 0.500, 0.299).

Its energy relative to the elements is -0.509 eV per atom.

No. 5
DFT (PBE-GGA) results for an optimized crystal structure of Er2Tm2Lu3Ni2Te2.

The space group is Imm2 (No. 44) and the conventional cell measures 3.815, 15.324 and 9.444 Å, with angles of 90.00, 90.00 and 90.00 degrees. The asymmetric unit holds Er at (0.000, 0.185, 0.000), Tm at (0.000, 0.365, 0.205), Lu at (0.000, 0.146, 0.352), Lu at (0.000, 0.500, 0.624), Ni at (0.000, 0.264, 0.693), Te at (0.000, 0.000, 0.857) and Te at (0.000, 0.500, 0.962).

The excess energy over the best structure of this formula in the dataset is 10 meV per atom.

No. 6
DFT (PBE-GGA) results for an optimized crystal structure of Dy2ErMg3Tl2Cd.

The space group is Amm2 (No. 38) and the conventional cell measures 4.612, 13.045 and 7.541 Å, with angles of 90.00, 90.00 and 90.00 degrees. The asymmetric unit holds Dy at (0.000, 0.212, 0.000), Er at (0.000, 0.000, 0.636), Mg at (0.500, 0.000, 0.972), Mg at (0.500, 0.120, 0.332), Tl at (0.500, 0.167, 0.712) and Cd at (0.000, 0.000, 0.212).

No. 7
DFT (PBE-GGA) results for an optimized crystal structure of Ba2TmZnSe2O2.

The space group is P3m1 (No. 156) and the conventional cell measures 4.2501, 4.2501 and 12.8720 Å, with angles of 90.00, 90.00 and 120.00 degrees. The asymmetric unit holds Ba at (0.0000, 0.0000, 0.0000), Ba at (0.3333, 0.6667, 0.5333), Tm at (0.6667, 0.3333, 0.2347), Zn at (0.6667, 0.3333, 0.7440), Se at (0.0000, 0.0000, 0.3428), Se at (0.3333, 0.6667, 0.8116), O at (0.6667, 0.3333, 0.0769) and O at (0.6667, 0.3333, 0.5962).

No. 8
DFT (PBE-GGA) results for an optimized crystal structure of KPmSeO.

The space group is P2_1/c (No. 14) and the conventional cell measures 7.815, 7.689 and 6.716 Å, with angles of 90.00, 103.09 and 90.00 degrees. The asymmetric unit holds K at (0.093, 0.236, 0.002), Pm at (0.468, 0.626, 0.274), Se at (0.234, 0.586, 0.844) and O at (0.404, 0.150, 0.883).

The excess energy over the best structure of this formula in the dataset is 11 meV per atom.

E in eV/atom, matching the order above: -7.873 -7.209 -4.408 -10.309 -5.128 -2.987 -5.260 -5.787